(1)
Here is a relaxed Ca5Ag2Sn5 crystal from Alexandria via LeMat-Bulk. Energies are from PBE-GGA.

a b c (Å): 8.5972 8.5972 10.1919
angles (deg): 125.08 125.08 32.83
Sites, in units of the cell vectors:
Ca  0.0000  0.0000  0.0000
Ca  0.1307  0.1307  0.4354
Ca  0.1616  0.1616  0.8407
Ca  0.8384  0.8384  0.1593
Ca  0.8693  0.8693  0.5646
Ag  0.3426  0.3426  0.7887
Ag  0.6574  0.6574  0.2113
Sn  0.2604  0.2604  0.2663
Sn  0.4710  0.4710  0.1721
Sn  0.5000  0.5000  0.5000
Sn  0.5290  0.5290  0.8279
Sn  0.7396  0.7396  0.7337

## Properties
theoretical density	5.13	Mg/m³
E	-3.51	eV per atom
spin magnetization	0.00	μB/f.u.
symmetry	C2/m
formation energy from the elements	-6.41	eV/f.u.

=====

(2)
Here is a relaxed Ca2AgSn3 crystal from Alexandria via LeMat-Bulk. Energies are from PBE-GGA.

a b c (Å): 4.2960 4.8922 8.0701
angles (deg): 90.00 90.00 90.00
Sites, in units of the cell vectors:
Ca  0.0000  0.0000  0.0000
Ca  0.0000  0.5000  0.4965
Ag  0.5000  0.5000  0.8176
Sn  0.5000  0.0000  0.3314
Sn  0.5000  0.0000  0.6791
Sn  0.5000  0.5000  0.1521

## Properties
theoretical density	5.33	Mg/m³
E	-3.54	eV per atom
spin magnetization	0.00	μB/f.u.
symmetry	Pmm2
formation energy from the elements	-2.37	eV/f.u.

=====

(3)
Here is a relaxed CaAg3Sn3 crystal from Alexandria via LeMat-Bulk. Energies are from PBE-GGA.

a b c (Å): 7.0544 7.0544 7.0544
angles (deg): 79.05 79.05 79.05
Sites, in units of the cell vectors:
Ca  0.2383  0.2383  0.2383
Ca  0.7617  0.7617  0.7617
Ag  0.1924  0.4722  0.5858
Ag  0.4142  0.8076  0.5278
Ag  0.4722  0.5858  0.1924
Ag  0.5278  0.4142  0.8076
Ag  0.5858  0.1924  0.4722
Ag  0.8076  0.5278  0.4142
Sn  0.0809  0.8200  0.3157
Sn  0.1800  0.6843  0.9191
Sn  0.3157  0.0809  0.8200
Sn  0.6843  0.9191  0.1800
Sn  0.8200  0.3157  0.0809
Sn  0.9191  0.1800  0.6843

## Properties
theoretical density	7.16	Mg/m³
E	-3.38	eV per atom
spin magnetization	0.00	μB/f.u.
symmetry	R-3
formation energy from the elements	-1.11	eV/f.u.

=====

(4)
Here is a relaxed Ca2AgSn8 crystal from Alexandria via LeMat-Bulk. Energies are from PBE-GGA.

a b c (Å): 4.7519 4.7519 13.2018
angles (deg): 90.00 90.00 90.00
Sites, in units of the cell vectors:
Ca  0.0000  0.0000  0.1774
Ca  0.0000  0.0000  0.8226
Ag  0.0000  0.0000  0.5000
Sn  0.0000  0.5000  0.0000
Sn  0.0000  0.5000  0.3676
Sn  0.0000  0.5000  0.6324
Sn  0.5000  0.0000  0.0000
Sn  0.5000  0.0000  0.3676
Sn  0.5000  0.0000  0.6324
Sn  0.5000  0.5000  0.1860
Sn  0.5000  0.5000  0.8140

## Properties
theoretical density	6.34	Mg/m³
E	-3.78	eV per atom
spin magnetization	0.00	μB/f.u.
symmetry	P4/mmm
formation energy from the elements	-2.71	eV/f.u.

=====

(5)
Here is a relaxed Ca2AgSn crystal from Alexandria via LeMat-Bulk. Energies are from PBE-GGA.

a b c (Å): 6.8249 6.8249 6.8249
angles (deg): 104.36 104.36 120.27
Sites, in units of the cell vectors:
Ca  0.1084  0.6250  0.9834
Ca  0.3750  0.3584  0.4834
Ca  0.6416  0.1250  0.0166
Ca  0.8750  0.8916  0.5166
Ag  0.0000  0.0000  0.0000
Ag  0.7500  0.2500  0.5000
Sn  0.2500  0.7500  0.5000
Sn  0.5000  0.5000  0.0000

## Properties
theoretical density	4.28	Mg/m³
E	-2.89	eV per atom
spin magnetization	0.00	μB/f.u.
symmetry	I-42d
formation energy from the elements	-0.70	eV/f.u.

=====

(6)
Here is a relaxed Ca2AgSn5 crystal from Alexandria via LeMat-Bulk. Energies are from PBE-GGA.

a b c (Å): 6.5708 6.5708 6.6055
angles (deg): 118.04 118.04 92.50
Sites, in units of the cell vectors:
Ca  0.2493  0.7507  0.0000
Ca  0.7507  0.2493  0.0000
Ag  0.2515  0.2515  0.4992
Sn  0.2181  0.7937  0.5002
Sn  0.2812  0.2812  0.0697
Sn  0.7007  0.7007  0.9133
Sn  0.7494  0.7494  0.4976
Sn  0.7937  0.2181  0.5002

## Properties
theoretical density	6.21	Mg/m³
E	-3.71	eV per atom
spin magnetization	0.00	μB/f.u.
symmetry	Cm
formation energy from the elements	-2.78	eV/f.u.

=====

(7)
Here is a relaxed CaAg12Sn4 crystal from Alexandria via LeMat-Bulk. Energies are from PBE-GGA.

a b c (Å): 8.1974 8.1974 8.1974
angles (deg): 109.47 109.47 109.47
Sites, in units of the cell vectors:
Ca  0.0000  0.0000  0.0000
Ag  0.1459  0.4997  0.3538
Ag  0.1459  0.7922  0.6462
Ag  0.2078  0.3538  0.8541
Ag  0.3538  0.1459  0.4997
Ag  0.3538  0.8541  0.2078
Ag  0.4997  0.3538  0.1459
Ag  0.5003  0.6462  0.8541
Ag  0.6462  0.1459  0.7922
Ag  0.6462  0.8541  0.5003
Ag  0.7922  0.6462  0.1459
Ag  0.8541  0.2078  0.3538
Ag  0.8541  0.5003  0.6462
Sn  0.0000  0.0000  0.5000
Sn  0.0000  0.5000  0.0000
Sn  0.5000  0.0000  0.0000
Sn  0.5000  0.5000  0.5000

## Properties
theoretical density	7.09	Mg/m³
E	-2.80	eV per atom
spin magnetization	0.00	μB/f.u.
symmetry	Im-3
formation energy from the elements	4.60	eV/f.u.

=====

(8)
Here is a relaxed CaAgSn2 crystal from Alexandria via LeMat-Bulk. Energies are from PBE-GGA.

a b c (Å): 4.6461 4.6461 4.5435
angles (deg): 90.00 90.00 90.00
Sites, in units of the cell vectors:
Ca  0.0000  0.0000  0.0000
Ag  0.5000  0.5000  0.0000
Sn  0.0000  0.5000  0.5000
Sn  0.5000  0.0000  0.5000

## Properties
theoretical density	6.52	Mg/m³
E	-3.54	eV per atom
spin magnetization	0.00	μB/f.u.
symmetry	P4/mmm
formation energy from the elements	-1.31	eV/f.u.

=====

(9)
Here is a relaxed Ca5AgSn4 crystal from Alexandria via LeMat-Bulk. Energies are from PBE-GGA.

a b c (Å): 3.5833 3.5833 21.5031
angles (deg): 90.00 90.00 90.00
Sites, in units of the cell vectors:
Ca  0.0000  0.0000  0.0000
Ca  0.0000  0.0000  0.2082
Ca  0.0000  0.0000  0.4105
Ca  0.0000  0.0000  0.5895
Ca  0.0000  0.0000  0.7918
Ag  0.5000  0.5000  0.5000
Sn  0.5000  0.5000  0.1039
Sn  0.5000  0.5000  0.3108
Sn  0.5000  0.5000  0.6892
Sn  0.5000  0.5000  0.8961

## Properties
theoretical density	4.71	Mg/m³
E	-3.46	eV per atom
spin magnetization	0.00	μB/f.u.
symmetry	P4/mmm
formation energy from the elements	-5.72	eV/f.u.

=====

(10)
Here is a relaxed Ca2AgSn3 crystal from Alexandria via LeMat-Bulk. Energies are from PBE-GGA.

a b c (Å): 6.2699 6.2699 7.4731
angles (deg): 126.29 126.29 45.76
Sites, in units of the cell vectors:
Ca  0.0000  0.0000  0.0000
Ca  0.1016  0.1016  0.6057
Ag  0.7196  0.7196  0.4087
Sn  0.3770  0.3770  0.5797
Sn  0.4130  0.4130  0.2059
Sn  0.7102  0.7102  0.0084

## Properties
theoretical density	5.60	Mg/m³
E	-3.59	eV per atom
spin magnetization	0.00	μB/f.u.
symmetry	Cm
formation energy from the elements	-2.68	eV/f.u.

=====

(11)
Here is a relaxed Ca4Ag2Sn crystal from Alexandria via LeMat-Bulk. Energies are from PBE-GGA.

a b c (Å): 9.0975 9.0975 9.0975
angles (deg): 33.68 33.68 33.68
Sites, in units of the cell vectors:
Ca  0.1209  0.1209  0.1209
Ca  0.3730  0.3730  0.3730
Ca  0.6270  0.6270  0.6270
Ca  0.8791  0.8791  0.8791
Ag  0.2499  0.2499  0.2499
Ag  0.7501  0.7501  0.7501
Sn  0.5000  0.5000  0.5000

## Properties
theoretical density	3.98	Mg/m³
E	-2.91	eV per atom
spin magnetization	0.00	μB/f.u.
symmetry	R-3m
formation energy from the elements	-2.68	eV/f.u.

=====

(12)
Here is a relaxed CaAgSn3 crystal from Alexandria via LeMat-Bulk. Energies are from PBE-GGA.

a b c (Å): 5.4111 5.4111 5.4111
angles (deg): 90.00 90.00 90.00
Sites, in units of the cell vectors:
Ca  0.0000  0.0000  0.0000
Ag  0.5000  0.5000  0.5000
Sn  0.0000  0.5000  0.5000
Sn  0.5000  0.0000  0.5000
Sn  0.5000  0.5000  0.0000

## Properties
theoretical density	5.28	Mg/m³
E	-3.26	eV per atom
spin magnetization	0.00	μB/f.u.
symmetry	Pm-3m
formation energy from the elements	0.58	eV/f.u.

=====

(13)
Here is a relaxed CaAgSn crystal from Alexandria via LeMat-Bulk. Energies are from PBE-GGA.

a b c (Å): 4.8458 4.8458 11.0298
angles (deg): 90.00 90.00 120.00
Sites, in units of the cell vectors:
Ca  0.0000  0.0000  0.0000
Ca  0.0000  0.0000  0.3315
Ca  0.0000  0.0000  0.6685
Ag  0.3333  0.6667  0.1896
Ag  0.3333  0.6667  0.8104
Ag  0.6667  0.3333  0.5000
Sn  0.3333  0.6667  0.5000
Sn  0.6667  0.3333  0.1454
Sn  0.6667  0.3333  0.8546

## Properties
theoretical density	5.92	Mg/m³
E	-3.47	eV per atom
spin magnetization	0.00	μB/f.u.
symmetry	P-6m2
formation energy from the elements	-1.56	eV/f.u.

=====

(14)
Here is a relaxed CaAgSn2 crystal from Alexandria via LeMat-Bulk. Energies are from PBE-GGA.

a b c (Å): 3.7918 3.7918 7.1161
angles (deg): 90.00 90.00 90.00
Sites, in units of the cell vectors:
Ca  0.0000  0.0000  0.0000
Ag  0.0000  0.0000  0.5000
Sn  0.5000  0.5000  0.2900
Sn  0.5000  0.5000  0.7100

## Properties
theoretical density	6.25	Mg/m³
E	-3.46	eV per atom
spin magnetization	0.00	μB/f.u.
symmetry	P4/mmm
formation energy from the elements	-1.00	eV/f.u.

=====

(15)
Here is a relaxed Ca6AgSn2 crystal from Alexandria via LeMat-Bulk. Energies are from PBE-GGA.

a b c (Å): 6.8534 8.6131 12.0993
angles (deg): 90.00 122.29 90.00
Sites, in units of the cell vectors:
Ca  0.0898  0.1711  0.4394
Ca  0.0898  0.3289  0.9394
Ca  0.3032  0.6813  0.4388
Ca  0.3032  0.8187  0.9388
Ca  0.3923  0.0337  0.2728
Ca  0.3923  0.4663  0.7728
Ca  0.6077  0.5337  0.2272
Ca  0.6077  0.9663  0.7272
Ca  0.6968  0.1813  0.0612
Ca  0.6968  0.3187  0.5612
Ca  0.9102  0.6711  0.0606
Ca  0.9102  0.8289  0.5606
Ag  0.0000  0.0000  0.0000
Ag  0.0000  0.5000  0.5000
Sn  0.1933  0.1205  0.7483
Sn  0.1933  0.3795  0.2483
Sn  0.8067  0.6205  0.7517
Sn  0.8067  0.8795  0.2517

## Properties
theoretical density	3.22	Mg/m³
E	-2.94	eV per atom
spin magnetization	0.00	μB/f.u.
symmetry	P2_1/c
formation energy from the elements	-3.61	eV/f.u.

=====

(16)
Here is a relaxed Ca3Ag2Sn crystal from Alexandria via LeMat-Bulk. Energies are from PBE-GGA.

a b c (Å): 3.7162 3.7162 11.4910
angles (deg): 90.00 90.00 90.00
Sites, in units of the cell vectors:
Ca  0.0000  0.0000  0.0000
Ca  0.0000  0.0000  0.3225
Ca  0.0000  0.0000  0.6775
Ag  0.5000  0.5000  0.1606
Ag  0.5000  0.5000  0.8394
Sn  0.5000  0.5000  0.5000

## Properties
theoretical density	4.76	Mg/m³
E	-3.06	eV per atom
spin magnetization	0.00	μB/f.u.
symmetry	P4/mmm
formation energy from the elements	-2.63	eV/f.u.

=====

(17)
Here is a relaxed Ca3Ag4Sn7 crystal from Alexandria via LeMat-Bulk. Energies are from PBE-GGA.

a b c (Å): 8.9133 8.9133 11.0009
angles (deg): 124.97 124.97 30.46
Sites, in units of the cell vectors:
Ca  0.0000  0.0000  0.0000
Ca  0.3042  0.3042  0.3137
Ca  0.6958  0.6958  0.6863
Ag  0.1431  0.1431  0.4265
Ag  0.3487  0.3487  0.9594
Ag  0.6513  0.6513  0.0406
Ag  0.8569  0.8569  0.5735
Sn  0.0000  0.0000  0.5000
Sn  0.1619  0.1619  0.8976
Sn  0.3381  0.3381  0.7033
Sn  0.4891  0.4891  0.2876
Sn  0.5109  0.5109  0.7124
Sn  0.6619  0.6619  0.2967
Sn  0.8381  0.8381  0.1024

## Properties
theoretical density	6.44	Mg/m³
E	-3.56	eV per atom
spin magnetization	0.00	μB/f.u.
symmetry	C2/m
formation energy from the elements	-4.38	eV/f.u.

=====

(18)
Here is a relaxed CaAg9Sn2 crystal from Alexandria via LeMat-Bulk. Energies are from PBE-GGA.

a b c (Å): 9.7299 9.7299 9.7299
angles (deg): 33.75 33.75 33.75
Sites, in units of the cell vectors:
Ca  0.0000  0.0000  0.0000
Ag  0.0809  0.5868  0.5868
Ag  0.3340  0.3340  0.3340
Ag  0.4132  0.4132  0.9191
Ag  0.4132  0.9191  0.4132
Ag  0.5000  0.5000  0.5000
Ag  0.5868  0.0809  0.5868
Ag  0.5868  0.5868  0.0809
Ag  0.6660  0.6660  0.6660
Ag  0.9191  0.4132  0.4132
Sn  0.1443  0.1443  0.1443
Sn  0.8557  0.8557  0.8557

## Properties
theoretical density	8.18	Mg/m³
E	-3.02	eV per atom
spin magnetization	0.00	μB/f.u.
symmetry	R-3m
formation energy from the elements	-0.55	eV/f.u.

=====

(19)
Here is a relaxed Ca8AgSn2 crystal from Alexandria via LeMat-Bulk. Energies are from PBE-GGA.

a b c (Å): 9.9179 9.9179 7.4117
angles (deg): 107.59 107.59 31.28
Sites, in units of the cell vectors:
Ca  0.0253  0.0253  0.2870
Ca  0.2028  0.2028  0.7896
Ca  0.3428  0.3428  0.5509
Ca  0.4027  0.4027  0.0627
Ca  0.5973  0.5973  0.9373
Ca  0.6572  0.6572  0.4491
Ca  0.7972  0.7972  0.2104
Ca  0.9747  0.9747  0.7130
Ag  0.5000  0.5000  0.5000
Sn  0.1859  0.1859  0.2064
Sn  0.8141  0.8141  0.7936

## Properties
theoretical density	3.08	Mg/m³
E	-2.83	eV per atom
spin magnetization	0.00	μB/f.u.
symmetry	C2/m
formation energy from the elements	-4.24	eV/f.u.

=====

(20)
Here is a relaxed CaAgSn2 crystal from Alexandria via LeMat-Bulk. Energies are from PBE-GGA.

a b c (Å): 10.8593 10.8593 10.8593
angles (deg): 155.31 155.31 35.20
Sites, in units of the cell vectors:
Ca  0.0000  0.0000  0.0000
Ca  0.7500  0.2500  0.5000
Ag  0.2500  0.7500  0.5000
Ag  0.5000  0.5000  0.0000
Sn  0.1672  0.6250  0.0422
Sn  0.3750  0.4172  0.5422
Sn  0.5828  0.1250  0.9578
Sn  0.8750  0.8328  0.4578

## Properties
theoretical density	5.74	Mg/m³
E	-3.38	eV per atom
spin magnetization	0.00	μB/f.u.
symmetry	I-42d
formation energy from the elements	-0.68	eV/f.u.

=====

(21)
Here is a relaxed CaAg2Sn2 crystal from Alexandria via LeMat-Bulk. Energies are from PBE-GGA.

a b c (Å): 8.1765 8.1765 3.5984
angles (deg): 90.00 90.00 90.00
Sites, in units of the cell vectors:
Ca  0.0000  0.0000  0.0000
Ca  0.5000  0.5000  0.0000
Ag  0.1224  0.3776  0.0000
Ag  0.3776  0.8776  0.0000
Ag  0.6224  0.1224  0.0000
Ag  0.8776  0.6224  0.0000
Sn  0.1767  0.6767  0.5000
Sn  0.3233  0.1767  0.5000
Sn  0.6767  0.8233  0.5000
Sn  0.8233  0.3233  0.5000

## Properties
theoretical density	6.81	Mg/m³
E	-3.33	eV per atom
spin magnetization	0.00	μB/f.u.
symmetry	P4/mbm
formation energy from the elements	-0.94	eV/f.u.

=====

(22)
Here is a relaxed Ca3Ag5Sn2 crystal from Alexandria via LeMat-Bulk. Energies are from PBE-GGA.

a b c (Å): 9.5502 9.5502 9.5502
angles (deg): 100.12 91.92 142.25
Sites, in units of the cell vectors:
Ca  0.2340  0.6135  0.8475
Ca  0.2500  0.2500  0.0000
Ca  0.2660  0.1135  0.3794
Ca  0.7340  0.8865  0.6206
Ca  0.7500  0.7500  0.0000
Ca  0.7660  0.3865  0.1525
Ag  0.1416  0.3685  0.5101
Ag  0.2500  0.5050  0.2550
Ag  0.2500  0.7500  0.5000
Ag  0.2500  0.9950  0.7450
Ag  0.3584  0.8685  0.2269
Ag  0.6416  0.1315  0.7731
Ag  0.7500  0.0050  0.2550
Ag  0.7500  0.2500  0.5000
Ag  0.7500  0.4950  0.7450
Ag  0.8584  0.6315  0.4899
Sn  0.1528  0.8581  0.0110
Sn  0.3472  0.3581  0.7053
Sn  0.6528  0.6419  0.2947
Sn  0.8472  0.1419  0.9890

## Properties
theoretical density	5.92	Mg/m³
E	-3.06	eV per atom
spin magnetization	0.00	μB/f.u.
symmetry	Ibam
formation energy from the elements	-2.31	eV/f.u.